The following is a DFT calculation (PBE) of a geometry-optimized Ta8Nb2Fe structure.

Lattice parameters (Å, degrees): 5.571 5.571 7.536 90.00 90.00 120.00
Element x y z (fractional)
Ta 0.164 0.329 0.272
Ta 0.164 0.836 0.272
Ta 0.329 0.164 0.728
Ta 0.333 0.667 0.938
Ta 0.667 0.333 0.062
Ta 0.671 0.836 0.272
Ta 0.836 0.164 0.728
Ta 0.836 0.671 0.728
Nb 0.333 0.667 0.571
Nb 0.667 0.333 0.429
Fe 0.000 0.000 0.000

Output
Polymorph energy (0 for the lowest one) in eV/atom: 0.079
E in eV/atom: -11.010
Crystal system: trigonal
ΔE_f in meV/atom: 211